1.
An optimized crystal structure of La2BiAs3Pt4, computed with PBE.

Formation energy from the elements, eV/f.u.: -8.3

Cell lengths 4.4526, 4.4526, 10.8341 Å; angles 90.00, 90.00, 90.00 degrees
Last column: nearest neighbours and their distance in Å.
Atoms (fractional coordinates):
La 0.0000 0.5000 0.2266  8 Pt 3.31-3.41, 6 As 3.34-3.71, 2 Bi 3.71
La 0.5000 0.0000 0.7734  8 Pt 3.31-3.41, 6 As 3.34-3.71, 2 Bi 3.71
Bi 0.0000 0.0000 0.5000  4 Pt 2.77
As 0.0000 0.5000 0.8769  5 Pt 2.43-2.60
As 0.5000 0.0000 0.1231  5 Pt 2.43-2.60
As 0.5000 0.5000 0.5000  4 Pt 2.77
Pt 0.0000 0.0000 0.0000  4 As 2.60
Pt 0.0000 0.5000 0.6526  1 As 2.43
Pt 0.5000 0.0000 0.3474  1 As 2.43
Pt 0.5000 0.5000 0.0000  4 As 2.60

2.
An optimized crystal structure of LaBi2As2Rh7, computed with PBE.

Formation energy from the elements, eV/f.u.: -2.9

Cell lengths 4.0525, 4.0525, 14.2132 Å; angles 95.81, 95.81, 89.87 degrees
Last column: nearest neighbours and their distance in Å.
Atoms (fractional coordinates):
La 0.0000 0.0000 0.0000  12 Rh 2.86-3.00
Bi 0.1152 0.1152 0.3915  5 Rh 2.79-2.92
Bi 0.8848 0.8848 0.6085  5 Rh 2.79-2.92
As 0.4134 0.4134 0.7498  5 Rh 2.42-2.48
As 0.5866 0.5866 0.2502  5 Rh 2.42-2.48
Rh 0.0536 0.5536 0.1566  2 As 2.42
Rh 0.3705 0.3705 0.5739  1 As 2.48, 1 Rh 2.74
Rh 0.4464 0.9464 0.8434  2 As 2.42
Rh 0.5000 0.5000 0.0000  4 La 2.86-2.87, 8 Rh 2.99-3.00
Rh 0.5536 0.0536 0.1566  2 As 2.42
Rh 0.6295 0.6295 0.4261  1 As 2.48, 1 Rh 2.74
Rh 0.9464 0.4464 0.8434  2 As 2.42

3.
An optimized crystal structure of La2BiAs3Rh4, computed with PBE.

Formation energy from the elements, eV/f.u.: -8.3

Cell lengths 4.2630, 4.2630, 11.0546 Å; angles 90.00, 90.00, 90.00 degrees
Last column: nearest neighbours and their distance in Å.
Atoms (fractional coordinates):
La 0.0000 0.5000 0.2363  8 Rh 3.25-3.37, 6 As 3.25-3.61, 2 Bi 3.61
La 0.5000 0.0000 0.7637  8 Rh 3.25-3.37, 6 As 3.25-3.61, 2 Bi 3.61
Bi 0.0000 0.0000 0.5000  4 Rh 2.73, 4 As 3.01
As 0.0000 0.5000 0.8731  5 Rh 2.42-2.55
As 0.5000 0.0000 0.1269  5 Rh 2.42-2.55
As 0.5000 0.5000 0.5000  4 Rh 2.73, 4 Bi 3.01
Rh 0.0000 0.0000 0.0000  4 As 2.55
Rh 0.0000 0.5000 0.6544  1 As 2.42
Rh 0.5000 0.0000 0.3456  1 As 2.42
Rh 0.5000 0.5000 0.0000  4 As 2.55

4.
An optimized crystal structure of LaBiAsRu2, computed with PBE.

Formation energy from the elements, eV/f.u.: 6.3

Cell lengths 4.8510, 4.8510, 5.7290 Å; angles 90.00, 90.00, 90.00 degrees
Last column: nearest neighbours and their distance in Å.
Atoms (fractional coordinates):
La 0.0000 0.0000 0.0000  4 Ru 2.43
Bi 0.5000 0.5000 0.5000  4 As 3.43, 8 Ru 3.75
As 0.0000 0.0000 0.5000  2 La 2.86
Ru 0.0000 0.5000 0.0000  2 La 2.43
Ru 0.5000 0.0000 0.0000  2 La 2.43

5.
An optimized crystal structure of La6BiAs2S3, computed with PBE.

Formation energy (no corrections), eV per atom: -1.762

Cell lengths 9.6607, 9.6607, 8.6464 Å; angles 102.38, 102.38, 25.95 degrees
Last column: nearest neighbours and their distance in Å.
Atoms (fractional coordinates):
La 0.9999 0.9999 0.2293  3 S 2.94-3.04, 1 As 3.08, 2 Bi 3.19
La 0.0001 0.0001 0.7707  3 S 2.94-3.04, 1 As 3.08, 2 Bi 3.19
La 0.3260 0.3260 0.4120  3 S 2.95-3.08, 2 As 3.06, 1 Bi 3.20
La 0.3333 0.3333 0.9163  3 As 3.05-3.06, 3 S 3.06
La 0.6667 0.6667 0.0837  3 As 3.05-3.06, 3 S 3.06
La 0.6740 0.6740 0.5880  3 S 2.95-3.08, 2 As 3.06, 1 Bi 3.20
Bi 0.5000 0.5000 0.5000  6 La 3.19-3.20
As 0.1675 0.1675 0.8342  6 La 3.05-3.08
As 0.8325 0.8325 0.1658  6 La 3.05-3.08
S 0.1653 0.1653 0.3322  6 La 2.95-3.08
S 0.5000 0.5000 0.0000  6 La 2.94-3.06
S 0.8347 0.8347 0.6678  6 La 2.95-3.08

6.
An optimized crystal structure of La6BiSb2As3, computed with PBE.

Formation energy (no corrections), eV per atom: -1.373

Cell lengths 10.1074, 10.1074, 9.0528 Å; angles 103.47, 103.47, 25.72 degrees
Last column: nearest neighbours and their distance in Å.
Atoms (fractional coordinates):
La 0.0035 0.0035 0.2379  3 As 3.10-3.12, 1 Sb 3.26, 2 Bi 3.28
La 0.3284 0.3284 0.4240  3 As 3.10-3.13, 2 Sb 3.26, 1 Bi 3.29
La 0.3363 0.3363 0.9086  3 As 3.13, 3 Sb 3.25
La 0.6637 0.6637 0.0914  3 As 3.13, 3 Sb 3.25
La 0.6716 0.6716 0.5760  3 As 3.10-3.13, 2 Sb 3.26, 1 Bi 3.29
La 0.9965 0.9965 0.7621  3 As 3.10-3.12, 1 Sb 3.26, 2 Bi 3.28
Bi 0.5000 0.5000 0.5000  6 La 3.28-3.29
Sb 0.1665 0.1665 0.8332  6 La 3.25-3.26
Sb 0.8335 0.8335 0.1668  6 La 3.25-3.26
As 0.1666 0.1666 0.3329  6 La 3.10-3.13
As 0.5000 0.5000 0.0000  6 La 3.10-3.13
As 0.8334 0.8334 0.6671  6 La 3.10-3.13

no.,DOS(E_F) (states/eV/cell)
1,5.4
2,9.9
3,6.5
4,8.0
5,5.2
6,1.9